First-principles (PBE-GGA) data for a relaxed structure of Nb4Ga5C, as listed in Alexandria.

Lattice parameters (Å, degrees): 3.106 7.484 7.467 100.58 102.01 90.00
Fractional positions:
Ga1 0.832 0.282 0.665
Ga2 0.500 0.500 0.000
Ga3 0.168 0.718 0.335
Ga4 0.807 0.648 0.614
Ga5 0.193 0.352 0.386
Nb1 0.345 0.978 0.689
Nb2 0.012 0.204 0.023
Nb3 0.988 0.796 0.977
Nb4 0.655 0.022 0.311
C1 0.500 0.000 0.000

uncorrected energy: -66.9 eV/cell
space-group type: C2/m (12)

***

First-principles (PBE-GGA) data for a relaxed structure of DyTm5Ag4, as listed in Alexandria.

Lattice parameters (Å, degrees): 3.561 3.561 19.461 90.00 90.00 90.00
Fractional positions:
Dy1 0.000 0.000 0.000
Ag1 0.000 0.000 0.781
Ag2 0.000 0.000 0.219
Ag3 0.000 0.000 0.407
Ag4 0.000 0.000 0.593
Tm1 0.500 0.500 0.126
Tm2 0.500 0.500 0.874
Tm3 0.500 0.500 0.500
Tm4 0.500 0.500 0.312
Tm5 0.500 0.500 0.688

uncorrected energy: -41.0 eV/cell
space-group type: P4/mmm (123)

***

First-principles (PBE-GGA) data for a relaxed structure of Cr2TcRu, as listed in Alexandria.

Lattice parameters (Å, degrees): 4.518 4.518 4.654 80.24 80.24 34.38
Fractional positions:
Tc1 0.250 0.250 0.250
Cr1 0.497 0.497 0.503
Cr2 0.003 0.003 0.997
Ru1 0.750 0.750 0.750

uncorrected energy: -38.1 eV/cell
space-group type: C2/m (12)